Entry 1:
A relaxed TlSiTe2 crystal, computed with GGA-PBEsol.

Properties
N(E_F) ... 9.6 states/eV/cell
Calculated total energy ... -3.45 eV/atom
E_form (uncorrected) ... 406 meV per atom

The structure in POSCAR format:
```
TlSiTe2
1.0
7.3965 0.0000 0.0000
0.0000 7.3965 0.0000
0.0000 0.0000 7.3965
Tl Si Te
4 4 8
Cartesian
0.0000 0.0000 0.0000
0.0000 3.6983 3.6983
3.6983 0.0000 3.6983
3.6983 3.6983 0.0000
1.8491 1.8491 5.5474
1.8491 5.5474 1.8491
5.5474 1.8491 1.8491
5.5474 5.5474 5.5474
0.0000 0.0000 3.6983
0.0000 3.6983 0.0000
1.8491 1.8491 1.8491
1.8491 5.5474 5.5474
3.6983 0.0000 0.0000
3.6983 3.6983 3.6983
5.5474 1.8491 5.5474
5.5474 5.5474 1.8491
```



Entry 2:
A relaxed TlSi2Te crystal, computed with GGA-PBEsol.

Properties
N(E_F) ... 4.1 states/eV/cell
Energy relative to the lowest polymorph listed for this composition ... 29.8 kJ per mole of atoms
Calculated total energy ... -3.85 eV/atom
E_form (uncorrected) ... 560 meV per atom

The structure in POSCAR format:
```
TlSi2Te
1.0
6.6177 0.0000 0.0000
0.0000 9.4038 0.0000
-1.1558 0.0000 2.8361
Tl Si Te
2 4 2
Cartesian
0.0000 0.0000 0.0000
3.3088 4.7019 0.0000
1.0765 2.3509 1.4180
1.0765 7.0528 1.4180
4.3854 2.3509 1.4180
4.3854 7.0528 1.4180
0.0000 4.7019 0.0000
3.3088 0.0000 0.0000
```



Entry 3:
A relaxed TlSi2Te crystal, computed with GGA-PBEsol.

Properties
N(E_F) ... 11.1 states/eV/cell
Energy relative to the lowest polymorph listed for this composition ... 31.0 kJ per mole of atoms
Calculated total energy ... -3.84 eV/atom
E_form (uncorrected) ... 572 meV per atom

The structure in POSCAR format:
```
TlSi2Te
1.0
5.9993 0.0000 0.0000
0.0000 5.9993 0.0000
0.0000 0.0000 12.9888
Tl Si Te
4 8 4
Cartesian
0.0000 0.0000 0.0000
0.0000 2.9996 3.2472
2.9996 0.0000 9.7416
2.9996 2.9996 6.4944
1.4422 1.4998 1.6236
1.4998 4.4418 4.8708
1.4998 4.5571 11.3652
1.5575 1.4998 8.1180
4.4418 4.4994 8.1180
4.4994 1.4422 11.3652
4.4994 1.5575 4.8708
4.5571 4.4994 1.6236
0.0000 0.0000 6.4944
0.0000 2.9996 9.7416
2.9996 0.0000 3.2472
2.9996 2.9996 0.0000
```



Entry 4:
A relaxed Tl2SiTe crystal, computed with GGA-PBEsol.

Properties
N(E_F) ... 10.0 states/eV/cell
Energy relative to the lowest polymorph listed for this composition ... 3.8 kJ per mole of atoms
Calculated total energy ... -3.28 eV/atom
E_form (uncorrected) ... 355 meV per atom

The structure in POSCAR format:
```
Tl2SiTe
1.0
3.2246 0.0000 0.0000
-1.6123 2.7925 0.0000
0.0000 0.0000 34.2943
Tl Si Te
6 3 3
Cartesian
0.0000 0.0000 8.2686
0.0000 0.0000 26.0258
0.0000 1.8617 14.5943
0.0000 1.8617 31.1315
1.6123 0.9308 3.1629
1.6123 0.9308 19.7000
0.0000 0.0000 17.1472
0.0000 1.8617 5.7157
1.6123 0.9308 28.5786
0.0000 0.0000 0.0000
0.0000 1.8617 22.8629
1.6123 0.9308 11.4314
```



Entry 5:
A relaxed Tl2SiTe crystal, computed with GGA-PBEsol.

Properties
N(E_F) ... 10.7 states/eV/cell
Energy relative to the lowest polymorph listed for this composition ... 0.0 kJ per mole of atoms
Calculated total energy ... -3.32 eV/atom
E_form (uncorrected) ... 316 meV per atom

The structure in POSCAR format:
```
Tl2SiTe
1.0
7.4513 0.0000 0.0000
0.0000 7.4513 0.0000
0.0000 0.0000 7.4513
Tl Si Te
8 4 4
Cartesian
0.0000 0.0000 0.0000
0.0000 3.7257 3.7257
1.8628 1.8628 1.8628
1.8628 5.5885 5.5885
3.7257 0.0000 3.7257
3.7257 3.7257 0.0000
5.5885 1.8628 5.5885
5.5885 5.5885 1.8628
1.8628 1.8628 5.5885
1.8628 5.5885 1.8628
5.5885 1.8628 1.8628
5.5885 5.5885 5.5885
0.0000 0.0000 3.7257
0.0000 3.7257 0.0000
3.7257 0.0000 0.0000
3.7257 3.7257 3.7257
```



Entry 6:
A relaxed TlSi2Te crystal, computed with GGA-PBEsol.

Properties
N(E_F) ... 1.8 states/eV/cell
Energy relative to the lowest polymorph listed for this composition ... 0.0 kJ per mole of atoms
Calculated total energy ... -4.16 eV/atom
E_form (uncorrected) ... 251 meV per atom

The structure in POSCAR format:
```
TlSi2Te
1.0
3.2603 0.0000 0.0000
0.0000 3.2603 0.0000
0.0000 0.0000 9.3400
Tl Si Te
1 2 1
Cartesian
0.0000 0.0000 0.0000
0.0000 0.0000 2.8735
1.6301 1.6301 3.6625
1.6301 1.6301 6.2504
```



Entry 7:
A relaxed Si2TeW crystal, computed with GGA-PBEsol.

Properties
N(E_F) ... 3.4 states/eV/cell
Calculated total energy ... -6.91 eV/atom
E_form (uncorrected) ... 292 meV per atom

The structure in POSCAR format:
```
Si2TeW
1.0
8.3185 0.0000 0.0000
0.0000 3.3172 0.0000
-0.5739 0.0000 5.4321
Si Te W
4 2 2
Cartesian
0.0000 0.0000 0.0000
1.5035 0.0000 4.2868
4.1593 1.6586 0.0000
5.6628 1.6586 4.2868
3.3411 0.0000 2.3472
7.5003 1.6586 2.3472
1.8036 1.6586 0.6934
5.9628 0.0000 0.6934
```



Entry 8:
A relaxed Si2TeW crystal, computed with GGA-PBEsol.

Properties
N(E_F) ... 5.3 states/eV/cell
Calculated total energy ... -6.78 eV/atom
E_form (uncorrected) ... 423 meV per atom

The structure in POSCAR format:
```
Si2TeW
1.0
3.0684 0.0000 0.0000
-1.5342 2.6573 0.0000
0.0000 0.0000 26.8189
Si Te W
6 3 3
Cartesian
0.0000 0.0000 0.0000
0.0000 0.0000 6.9893
0.0000 1.7715 17.8793
0.0000 1.7715 24.8686
1.5342 0.8858 8.9396
1.5342 0.8858 15.9289
0.0000 0.0000 20.8573
0.0000 1.7715 11.9177
1.5342 0.8858 2.9780
0.0000 0.0000 14.0070
0.0000 1.7715 5.0673
1.5342 0.8858 22.9466
```